1.
GaNF | GGA-PBE | optimized geometry

Properties
The value obtained for the excess energy over the best structure of this formula in the dataset is 0.0000 eV/atom. Its uncorrected formation energy is -23.91 kcal/mol of atoms. The calculation puts the total DFT energy (no corrections) at -5.444 eV/atom.

```
data_GaNF
_chemical_formula_sum 'Ga2 N2 F2'
_cell_length_a 3.2417
_cell_length_b 5.8882
_cell_length_c 7.6229
_cell_angle_alpha 67.35
_cell_angle_beta 89.14
_cell_angle_gamma 89.87
_symmetry_space_group_name_H-M 'P 1'
_symmetry_Int_Tables_number 1
_symmetry_space_group_name_Hall 'P 1'
loop_
_atom_site_label
_atom_site_fract_x
_atom_site_fract_y
_atom_site_fract_z
_atom_site_occupancy
Ga1 0.0000 0.0000 0.0000 1
Ga2 0.0021 0.6799 0.6392 1
N1 0.4525 0.2446 0.3201 1
N2 0.4539 0.4344 0.3190 1
F1 0.2035 0.3405 0.8195 1
F2 0.2037 0.8407 0.8184 1
```


2.
Ca2AlSbN | GGA-PBE | optimized geometry

Properties
Its uncorrected formation energy is -17.79 kcal/mol of atoms. The calculation puts the total DFT energy (no corrections) at -4.810 eV/atom.

```
data_Ca2AlSbN
_chemical_formula_sum 'Ca2 Al1 Sb1 N1'
_cell_length_a 5.0321
_cell_length_b 5.0321
_cell_length_c 4.0663
_cell_angle_alpha 90.00
_cell_angle_beta 90.00
_cell_angle_gamma 90.00
_symmetry_space_group_name_H-M 'P 4/m m m'
_symmetry_Int_Tables_number 123
_symmetry_space_group_name_Hall '-P 4 2'
loop_
_atom_site_label
_atom_site_fract_x
_atom_site_fract_y
_atom_site_fract_z
_atom_site_occupancy
Ca1 0.0000 0.5000 0.0000 1
Al1 0.0000 0.0000 0.5000 1
Sb1 0.5000 0.5000 0.5000 1
N1 0.0000 0.0000 0.0000 1
```


3.
Ti5H2N | GGA-PBE | optimized geometry

Properties
The calculation puts the total DFT energy (no corrections) at -7.298 eV/atom.

```
data_Ti5H2N
_chemical_formula_sum 'Ti20 H8 N4'
_cell_length_a 4.2929
_cell_length_b 9.0069
_cell_length_c 9.8783
_cell_angle_alpha 90.00
_cell_angle_beta 90.00
_cell_angle_gamma 90.00
_symmetry_space_group_name_H-M 'C m c m'
_symmetry_Int_Tables_number 63
_symmetry_space_group_name_Hall '-C 2c 2'
loop_
_atom_site_label
_atom_site_fract_x
_atom_site_fract_y
_atom_site_fract_z
_atom_site_occupancy
Ti1 0.0000 0.0020 0.1243 1
Ti2 0.0000 0.3133 0.5828 1
Ti3 0.0000 0.3287 0.2500 1
H1 0.0000 0.2102 0.0879 1
N1 0.0000 0.1810 0.7500 1
```


4.
YAlN3 | GGA-PBE | optimized geometry

Properties
Its uncorrected formation energy is -7.63 kcal/mol of atoms. The calculation puts the total DFT energy (no corrections) at -7.367 eV/atom.

```
data_YAlN3
_chemical_formula_sum 'Y1 Al1 N3'
_cell_length_a 3.7832
_cell_length_b 3.7832
_cell_length_c 3.7832
_cell_angle_alpha 90.00
_cell_angle_beta 90.00
_cell_angle_gamma 90.00
_symmetry_space_group_name_H-M 'P m -3 m'
_symmetry_Int_Tables_number 221
_symmetry_space_group_name_Hall '-P 4 2 3'
loop_
_atom_site_label
_atom_site_fract_x
_atom_site_fract_y
_atom_site_fract_z
_atom_site_occupancy
Y1 0.0000 0.0000 0.0000 1
Al1 0.5000 0.5000 0.5000 1
N1 0.0000 0.5000 0.5000 1
```


5.
SrZrW2 | GGA-PBE | optimized geometry

Properties
For the formation energy, the calculation gives 764 meV/atom. The value obtained for the excess energy over the best structure of this formula in the dataset is 0.2454 eV/atom. The calculation puts the total DFT energy (no corrections) at -8.270 eV/atom.

```
data_SrZrW2
_chemical_formula_sum 'Sr1 Zr1 W2'
_cell_length_a 2.9326
_cell_length_b 4.7979
_cell_length_c 6.8005
_cell_angle_alpha 90.00
_cell_angle_beta 93.80
_cell_angle_gamma 90.00
_symmetry_space_group_name_H-M 'P 1 2/m 1'
_symmetry_Int_Tables_number 10
_symmetry_space_group_name_Hall '-P 2y'
loop_
_atom_site_label
_atom_site_fract_x
_atom_site_fract_y
_atom_site_fract_z
_atom_site_occupancy
Sr1 0.0000 0.0000 0.0000 1
Zr1 0.5000 0.0000 0.5000 1
W1 0.1512 0.5000 0.6693 1
```


6.
KSnB | GGA-PBE | optimized geometry

Properties
For the formation energy, the calculation gives 134 meV/atom. The calculation puts the total DFT energy (no corrections) at -3.791 eV/atom.

```
data_KSnB
_chemical_formula_sum 'K4 Sn4 B4'
_cell_length_a 4.3485
_cell_length_b 23.6366
_cell_length_c 3.1810
_cell_angle_alpha 90.00
_cell_angle_beta 90.00
_cell_angle_gamma 90.00
_symmetry_space_group_name_H-M 'C m c m'
_symmetry_Int_Tables_number 63
_symmetry_space_group_name_Hall '-C 2c 2'
loop_
_atom_site_label
_atom_site_fract_x
_atom_site_fract_y
_atom_site_fract_z
_atom_site_occupancy
K1 0.0000 0.0873 0.2500 1
Sn1 0.0000 0.2861 0.7500 1
B1 0.0000 0.5000 0.0000 1
```


7.
Tb3Cd4Rh4 | GGA-PBE | optimized geometry

Properties
For the formation energy, the calculation gives -455 meV/atom. The calculation puts the total DFT energy (no corrections) at -4.724 eV/atom.

```
data_Tb3Cd4Rh4
_chemical_formula_sum 'Tb6 Cd8 Rh8'
_cell_length_a 3.7133
_cell_length_b 8.0078
_cell_length_c 15.6486
_cell_angle_alpha 90.00
_cell_angle_beta 90.00
_cell_angle_gamma 90.00
_symmetry_space_group_name_H-M 'I m m m'
_symmetry_Int_Tables_number 71
_symmetry_space_group_name_Hall '-I 2 2'
loop_
_atom_site_label
_atom_site_fract_x
_atom_site_fract_y
_atom_site_fract_z
_atom_site_occupancy
Tb1 0.0000 0.0000 0.0000 1
Tb2 0.0000 0.5000 0.1076 1
Cd1 0.0000 0.3156 0.3323 1
Rh1 0.0000 0.0000 0.2580 1
Rh2 0.0000 0.2044 0.5000 1
```


8.
HoEr2HfN4 | GGA-PBE | optimized geometry

Properties
Its uncorrected formation energy is -41.68 kcal/mol of atoms. The calculation puts the total DFT energy (no corrections) at -8.927 eV/atom.

```
data_HoEr2HfN4
_chemical_formula_sum 'Ho1 Er2 Hf1 N4'
_cell_length_a 5.8279
_cell_length_b 3.3596
_cell_length_c 5.8327
_cell_angle_alpha 90.00
_cell_angle_beta 109.24
_cell_angle_gamma 90.00
_symmetry_space_group_name_H-M 'P 1 2/m 1'
_symmetry_Int_Tables_number 10
_symmetry_space_group_name_Hall '-P 2y'
loop_
_atom_site_label
_atom_site_fract_x
_atom_site_fract_y
_atom_site_fract_z
_atom_site_occupancy
Ho1 0.0000 0.0000 0.0000 1
Er1 0.5000 0.0000 0.5000 1
Er2 0.5000 0.5000 0.0000 1
Hf1 0.0000 0.5000 0.5000 1
N1 0.2356 0.0000 0.7346 1
N2 0.2420 0.5000 0.2601 1
```


9.
Pu2Sn3Pd4 | GGA-PBE | optimized geometry

Properties
For the formation energy, the calculation gives -547 meV/atom. The calculation puts the total DFT energy (no corrections) at -7.374 eV/atom.

```
data_Pu2Sn3Pd4
_chemical_formula_sum 'Pu8 Sn12 Pd16'
_cell_length_a 6.1638
_cell_length_b 16.3359
_cell_length_c 7.5543
_cell_angle_alpha 90.00
_cell_angle_beta 90.00
_cell_angle_gamma 90.00
_symmetry_space_group_name_H-M 'C m c e'
_symmetry_Int_Tables_number 64
_symmetry_space_group_name_Hall '-C 2ac 2'
loop_
_atom_site_label
_atom_site_fract_x
_atom_site_fract_y
_atom_site_fract_z
_atom_site_occupancy
Pu1 0.0000 0.0950 0.0946 1
Sn1 0.0000 0.0000 0.5000 1
Sn2 0.2500 0.2410 0.7500 1
Pd1 0.0000 0.1683 0.4862 1
Pd2 0.2500 0.0711 0.7500 1
```


10.
RbNb2As | GGA-PBE | optimized geometry

Properties
For the formation energy, the calculation gives 787 meV/atom. The calculation puts the total DFT energy (no corrections) at -5.652 eV/atom.

```
data_RbNb2As
_chemical_formula_sum 'Rb4 Nb8 As4'
_cell_length_a 4.9831
_cell_length_b 4.9831
_cell_length_c 19.1100
_cell_angle_alpha 90.00
_cell_angle_beta 90.00
_cell_angle_gamma 90.00
_symmetry_space_group_name_H-M 'I 41/a m d'
_symmetry_Int_Tables_number 141
loop_
_symmetry_equiv_pos_as_xyz
'x,y,z'
'-x,-y,-z'
'-y+1/4,x+3/4,z+1/4'
'y+1/4,-x+3/4,-z+1/4'
'-x+1/2,-y,z+1/2'
'x+1/2,y,-z+1/2'
'y+1/4,-x+1/4,z+3/4'
'-y+1/4,x+1/4,-z+3/4'
'x,-y,-z'
'-x,y,z'
'-y+1/4,-x+1/4,-z+3/4'
'y+1/4,x+1/4,z+3/4'
'-x+1/2,y,-z+1/2'
'x+1/2,-y,z+1/2'
'y+1/4,x+3/4,-z+1/4'
'-y+1/4,-x+3/4,z+1/4'
'x+1/2,y+1/2,z+1/2'
'-x+1/2,-y+1/2,-z+1/2'
'-y+3/4,x+1/4,z+3/4'
'y+3/4,-x+1/4,-z+3/4'
'-x,-y+1/2,z'
'x,y+1/2,-z'
'y+3/4,-x+3/4,z+1/4'
'-y+3/4,x+3/4,-z+1/4'
'x+1/2,-y+1/2,-z+1/2'
'-x+1/2,y+1/2,z+1/2'
'-y+3/4,-x+3/4,-z+1/4'
'y+3/4,x+3/4,z+1/4'
'-x,y+1/2,-z'
'x,-y+1/2,z'
'y+3/4,x+1/4,-z+3/4'
'-y+3/4,-x+1/4,z+3/4'
loop_
_atom_site_label
_atom_site_fract_x
_atom_site_fract_y
_atom_site_fract_z
_atom_site_occupancy
Rb1 0.0000 0.2500 0.3750 1
Nb1 0.0000 0.0000 0.0000 1
As1 0.0000 0.2500 0.8750 1
```


11.
ReNiSbTe2 | GGA-PBE | optimized geometry

Properties
The value obtained for the excess energy over the best structure of this formula in the dataset is 0.0000 eV/atom. Its uncorrected formation energy is 26.66 kcal/mol of atoms. The calculation puts the total DFT energy (no corrections) at -4.571 eV/atom.

```
data_ReNiSbTe2
_chemical_formula_sum 'Re1 Ni1 Sb1 Te2'
_cell_length_a 5.2228
_cell_length_b 5.2228
_cell_length_c 5.1521
_cell_angle_alpha 90.00
_cell_angle_beta 90.00
_cell_angle_gamma 90.00
_symmetry_space_group_name_H-M 'P 4/m m m'
_symmetry_Int_Tables_number 123
_symmetry_space_group_name_Hall '-P 4 2'
loop_
_atom_site_label
_atom_site_fract_x
_atom_site_fract_y
_atom_site_fract_z
_atom_site_occupancy
Re1 0.0000 0.0000 0.0000 1
Ni1 0.5000 0.5000 0.5000 1
Sb1 0.0000 0.0000 0.5000 1
Te1 0.0000 0.5000 0.0000 1
```


12.
CaMg6BiO8 | GGA-PBE | optimized geometry

Properties
The value obtained for the excess energy over the best structure of this formula in the dataset is 0.0000 eV/atom. Its uncorrected formation energy is -51.22 kcal/mol of atoms. The calculation puts the total DFT energy (no corrections) at -5.666 eV/atom.

```
data_CaMg6BiO8
_chemical_formula_sum 'Ca1 Mg6 Bi1 O8'
_cell_length_a 4.4995
_cell_length_b 4.4995
_cell_length_c 9.5621
_cell_angle_alpha 90.00
_cell_angle_beta 90.00
_cell_angle_gamma 90.00
_symmetry_space_group_name_H-M 'P 4/m m m'
_symmetry_Int_Tables_number 123
_symmetry_space_group_name_Hall '-P 4 2'
loop_
_atom_site_label
_atom_site_fract_x
_atom_site_fract_y
_atom_site_fract_z
_atom_site_occupancy
Ca1 0.0000 0.0000 0.0000 1
Mg1 0.0000 0.0000 0.5000 1
Mg2 0.0000 0.5000 0.2831 1
Mg3 0.5000 0.5000 0.5000 1
Bi1 0.5000 0.5000 0.0000 1
O1 0.0000 0.0000 0.2709 1
O2 0.0000 0.5000 0.0000 1
O3 0.0000 0.5000 0.5000 1
O4 0.5000 0.5000 0.2908 1
```